(1)
Material: SmTm2Hg3
Method: DFT, GGA-PBE
State: optimized geometry

Cell: 3.7025 3.7025 11.2183 Å, 90.00 90.00 90.00°
Last column: nearest neighbours and their distance in Å.
Positions (direct):
Sm: 0.0000 0.0000 0.0000  8 Hg 3.30
Tm: 0.0000 0.0000 0.3371  8 Hg 3.16-3.19
Tm: 0.0000 0.0000 0.6629  8 Hg 3.16-3.19
Hg: 0.5000 0.5000 0.1787  4 Tm 3.16, 4 Sm 3.30
Hg: 0.5000 0.5000 0.5000  8 Tm 3.19
Hg: 0.5000 0.5000 0.8213  4 Tm 3.16, 4 Sm 3.30

Electronic total energy   -2.903 eV/atom
Space group   P4/mmm (123)
Energy of formation   -0.476 eV/atom

(2)
Material: Sm4TmHg
Method: DFT, GGA-PBE
State: optimized geometry

Cell: 3.6388 3.6388 14.0696 Å, 90.00 90.00 90.00°
Last column: nearest neighbours and their distance in Å.
Positions (direct):
Sm: 0.0000 0.0000 0.1451  4 Hg 3.28, 8 Sm 3.61-3.64
Sm: 0.0000 0.0000 0.8549  4 Hg 3.28, 8 Sm 3.61-3.64
Sm: 0.5000 0.5000 0.3250  4 Tm 3.56, 8 Sm 3.61-3.64
Sm: 0.5000 0.5000 0.6750  4 Tm 3.56, 8 Sm 3.61-3.64
Tm: 0.0000 0.0000 0.5000  8 Sm 3.56, 4 Tm 3.64
Hg: 0.5000 0.5000 0.0000  8 Sm 3.28, 4 Hg 3.64

Electronic total energy   -4.085 eV/atom
Space group   P4/mmm (123)
Energy of formation   -0.143 eV/atom

(3)
Material: Sm3Tm4Hg4
Method: DFT, GGA-PBE
State: optimized geometry

Cell: 9.3964 9.3964 9.3964 Å, 149.50 131.45 58.42°
Last column: nearest neighbours and their distance in Å.
Positions (direct):
Sm: 0.0000 0.0000 0.0000  6 Hg 3.39-3.40
Sm: 0.3904 0.8904 0.5000  4 Hg 3.42, 4 Tm 3.48, 1 Sm 3.59
Sm: 0.6096 0.1096 0.5000  4 Hg 3.42, 4 Tm 3.48, 1 Sm 3.59
Tm: 0.0409 0.3252 0.7157  4 Hg 2.93-3.03
Tm: 0.3906 0.6748 0.7157  4 Hg 2.93-3.03
Tm: 0.6094 0.3252 0.2843  4 Hg 2.93-3.03
Tm: 0.9591 0.6748 0.2843  4 Hg 2.93-3.03
Hg: 0.2069 0.2069 0.0000  6 Tm 2.93-3.03
Hg: 0.3017 0.5000 0.8017  2 Tm 2.94, 1 Hg 3.06
Hg: 0.6983 0.5000 0.1983  2 Tm 2.94, 1 Hg 3.06
Hg: 0.7931 0.7931 0.0000  6 Tm 2.93-3.03

Electronic total energy   -3.309 eV/atom
Space group   Immm (71)
Energy of formation   -0.286 eV/atom

(4)
Material: SmTmZnHg
Method: DFT, GGA-PBE
State: optimized geometry

Cell: 3.6071 3.6071 7.5102 Å, 90.00 90.00 90.00°
Last column: nearest neighbours and their distance in Å.
Positions (direct):
Sm: 0.0000 0.0000 0.0000  4 Zn 3.16, 4 Hg 3.33, 1 Tm 3.51
Tm: 0.0000 0.0000 0.4669  4 Zn 3.03, 4 Hg 3.16
Zn: 0.5000 0.5000 0.2492  4 Tm 3.03, 4 Sm 3.16
Hg: 0.5000 0.5000 0.7155  4 Tm 3.16, 4 Sm 3.33, 1 Zn 3.50

Electronic total energy   -3.099 eV/atom
Space group   P4mm (99)
Energy of formation   -0.408 eV/atom

(5)
Material: SmTmZnHg
Method: DFT, GGA-PBE
State: optimized geometry

Cell: 5.1921 5.1921 5.1921 Å, 60.00 60.00 60.00°
Last column: nearest neighbours and their distance in Å.
Positions (direct):
Sm: 0.0000 0.0000 0.0000  4 Hg 3.18, 4 Zn 3.18
Tm: 0.5000 0.5000 0.5000  4 Hg 3.18, 4 Zn 3.18
Zn: 0.2500 0.2500 0.2500  4 Tm 3.18, 4 Sm 3.18
Hg: 0.7500 0.7500 0.7500  4 Tm 3.18, 4 Sm 3.18

Electronic total energy   -3.073 eV/atom
Space group   F-43m (216)
Energy of formation   -0.381 eV/atom

(6)
Material: Sm2VHg
Method: DFT, GGA-PBE
State: optimized geometry

Cell: 11.1734 11.1734 11.1734 Å, 17.38 17.38 17.38°
Last column: nearest neighbours and their distance in Å.
Positions (direct):
Sm: 0.0868 0.0868 0.0868  1 V 2.86
Sm: 0.9132 0.9132 0.9132  1 V 2.86
V: 0.0000 0.0000 0.0000  2 Sm 2.86
Hg: 0.5000 0.5000 0.5000  6 Sm 3.28, 6 Hg 3.38

Electronic total energy   -4.203 eV/atom
Space group   R-3m (166)
Energy of formation   0.512 eV/atom

(7)
Material: SmY3Hg
Method: DFT, GGA-PBE
State: optimized geometry

Cell: 8.9979 6.0500 12.1493 Å, 90.00 116.48 90.00°
Last column: nearest neighbours and their distance in Å.
Positions (direct):
Sm: 0.1351 0.2046 0.0839  2 Hg 3.29, 1 Sm 3.43, 7 Y 3.44-3.64
Sm: 0.1351 0.2954 0.5839  2 Hg 3.29, 1 Sm 3.43, 7 Y 3.44-3.64
Sm: 0.8649 0.7046 0.4161  2 Hg 3.29, 1 Sm 3.43, 7 Y 3.44-3.64
Sm: 0.8649 0.7954 0.9161  2 Hg 3.29, 1 Sm 3.43, 7 Y 3.44-3.64
Y: 0.0626 0.6540 0.2266  2 Hg 3.18-3.51, 5 Y 3.36-3.54, 3 Sm 3.44-3.49
Y: 0.0626 0.8460 0.7266  2 Hg 3.18-3.51, 5 Y 3.36-3.54, 3 Sm 3.44-3.49
Y: 0.3642 0.2031 0.9140  2 Hg 3.21-3.25, 6 Y 3.42-3.54, 1 Sm 3.51
Y: 0.3642 0.2969 0.4140  2 Hg 3.21-3.25, 6 Y 3.42-3.54, 1 Sm 3.51
Y: 0.4365 0.6558 0.7727  2 Hg 3.18-3.49, 6 Y 3.36-3.51, 2 Sm 3.44-3.55
Y: 0.4365 0.8442 0.2727  2 Hg 3.18-3.49, 6 Y 3.36-3.51, 2 Sm 3.44-3.55
Y: 0.5635 0.1558 0.7273  2 Hg 3.18-3.49, 6 Y 3.36-3.51, 2 Sm 3.44-3.55
Y: 0.5635 0.3442 0.2273  2 Hg 3.18-3.49, 6 Y 3.36-3.51, 2 Sm 3.44-3.55
Y: 0.6358 0.7031 0.5860  2 Hg 3.21-3.25, 6 Y 3.42-3.54, 1 Sm 3.51
Y: 0.6358 0.7969 0.0860  2 Hg 3.21-3.25, 6 Y 3.42-3.54, 1 Sm 3.51
Y: 0.9374 0.1540 0.2734  2 Hg 3.18-3.51, 5 Y 3.36-3.54, 3 Sm 3.44-3.49
Y: 0.9374 0.3460 0.7734  2 Hg 3.18-3.51, 5 Y 3.36-3.54, 3 Sm 3.44-3.49
Hg: 0.2550 0.6599 0.9991  6 Y 3.18-3.51, 2 Sm 3.29
Hg: 0.2550 0.8401 0.4991  6 Y 3.18-3.51, 2 Sm 3.29
Hg: 0.7450 0.1599 0.5009  6 Y 3.18-3.51, 2 Sm 3.29
Hg: 0.7450 0.3401 0.0009  6 Y 3.18-3.51, 2 Sm 3.29

Electronic total energy   -5.022 eV/atom
Space group   P2_1/c (14)
Energy of formation   -0.139 eV/atom

(8)
Material: SmY2Hg2
Method: DFT, GGA-PBE
State: optimized geometry

Cell: 8.5717 8.5717 3.8242 Å, 90.00 90.00 90.00°
Last column: nearest neighbours and their distance in Å.
Positions (direct):
Sm: 0.0000 0.0000 0.0000  4 Hg 3.35, 8 Y 3.73
Sm: 0.5000 0.5000 0.0000  4 Hg 3.35, 8 Y 3.73
Y: 0.1658 0.3342 0.5000  6 Hg 3.10-3.21
Y: 0.3342 0.8342 0.5000  6 Hg 3.10-3.21
Y: 0.6658 0.1658 0.5000  6 Hg 3.10-3.21
Y: 0.8342 0.6658 0.5000  6 Hg 3.10-3.21
Hg: 0.1326 0.6326 0.0000  6 Y 3.10-3.21, 1 Hg 3.22, 2 Sm 3.35
Hg: 0.3674 0.1326 0.0000  6 Y 3.10-3.21, 1 Hg 3.22, 2 Sm 3.35
Hg: 0.6326 0.8674 0.0000  6 Y 3.10-3.21, 1 Hg 3.22, 2 Sm 3.35
Hg: 0.8674 0.3674 0.0000  6 Y 3.10-3.21, 1 Hg 3.22, 2 Sm 3.35

Electronic total energy   -4.049 eV/atom
Space group   P4/mbm (127)
Energy of formation   -0.399 eV/atom

> The highest electronic total energy belongs to which entry?

SmTm2Hg3

> The lowest energy of formation belongs to which entry?

SmTm2Hg3

> Which of these has the highest energy of formation?

Sm2VHg